1.
# KScAs2

A relaxed KScAs2 crystal (PBE, Alexandria via LeMat-Bulk).

Values from the calculation:
As for the space group: I-42d. The calculation puts the formation energy at -0.519 eV/atom. The volume comes out at 34.561 Å³ per atom.

extended XYZ file:
```
8
Lattice="-1.7917 4.3470 -3.2505 -4.9041 -2.7635 -0.9926 -6.7920 4.4599 4.6824" Properties=species:S:1:pos:R:3 pbc="T T T"
As -6.4455 3.4695 -2.5019
As -3.7641 4.2950 -1.5897
As -6.6927 4.4528 2.1053
As -6.9610 6.9799 0.6071
Sc 0.0000 0.0000 0.0000
Sc -5.9658 4.7993 -0.3448
K -3.3479 0.7917 -2.1215
K -7.5220 1.2441 0.7842
```

2.
# K3ScAs

A relaxed K3ScAs crystal (PBE, Alexandria via LeMat-Bulk).

Values from the calculation:
As for the space group: Pm-3m. The calculation puts the formation energy at 0.446 eV/atom. The volume comes out at 52.249 Å³ per atom.

extended XYZ file:
```
5
Lattice="6.3927 0.0000 0.0000 0.0000 6.3927 0.0000 0.0000 0.0000 6.3927" Properties=species:S:1:pos:R:3 pbc="T T T"
Sc 3.1963 3.1963 3.1963
K 0.0000 0.0000 3.1963
K 3.1963 0.0000 0.0000
K 0.0000 3.1963 0.0000
As 0.0000 0.0000 0.0000
```

3.
# K2ScAs

A relaxed K2ScAs crystal (PBE, Alexandria via LeMat-Bulk).

Values from the calculation:
As for the space group: Cm. The calculation puts the formation energy at -0.360 eV/atom. The volume comes out at 43.311 Å³ per atom.

extended XYZ file:
```
4
Lattice="-3.7774 -2.2971 -0.9460 -0.7441 -1.5307 -4.1886 3.0789 -9.6322 0.6035" Properties=species:S:1:pos:R:3 pbc="T T T"
K -1.4058 -9.5320 -3.5682
K -4.0922 -4.5760 -4.9098
Sc -1.2505 -5.7676 -2.5331
As 0.0631 -4.1423 -0.9201
```

4.
# KScAs2

A relaxed KScAs2 crystal (PBE, Alexandria via LeMat-Bulk).

Values from the calculation:
As for the space group: C2/m. The calculation puts the formation energy at -0.626 eV/atom. The volume comes out at 27.462 Å³ per atom.

extended XYZ file:
```
4
Lattice="4.5319 0.0033 -0.0079 2.9256 3.4611 -0.0079 1.6455 0.7644 7.0041" Properties=species:S:1:pos:R:3 pbc="T T T"
K 6.8273 3.1716 5.2413
Sc 2.2758 1.0572 1.7471
As 4.5321 2.1054 2.8753
As 7.4770 3.4735 0.6031
```

5.
# K2ScAs

A relaxed K2ScAs crystal (PBE, Alexandria via LeMat-Bulk).

Values from the calculation:
As for the space group: I-4m2. The calculation puts the formation energy at 0.192 eV/atom. The volume comes out at 28.900 Å³ per atom.

extended XYZ file:
```
4
Lattice="5.4538 -0.4591 0.0000 0.4899 5.4512 0.0000 -2.9719 -2.4960 3.8591" Properties=species:S:1:pos:R:3 pbc="T T T"
Sc 2.9719 2.4960 0.0000
K 0.2449 2.7256 1.9296
K 0.0000 0.0000 0.0000
As 2.7269 -0.2295 1.9296
```

6.
# KSc2As

A relaxed KSc2As crystal (PBE, Alexandria via LeMat-Bulk).

Values from the calculation:
As for the space group: Immm. The calculation puts the formation energy at -0.245 eV/atom. The volume comes out at 28.665 Å³ per atom.

extended XYZ file:
```
4
Lattice="6.5495 0.0097 -0.0033 3.0152 5.8141 0.0033 -3.9644 -4.2554 3.0119" Properties=species:S:1:pos:R:3 pbc="T T T"
Sc 5.4622 3.3258 0.0000
Sc 8.8849 5.4099 0.0000
As 3.6837 -0.6669 1.5043
K 1.9166 2.2353 1.5076
```

7.
# K2ScAs

A relaxed K2ScAs crystal (PBE, Alexandria via LeMat-Bulk).

Values from the calculation:
As for the space group: I-42d. The calculation puts the formation energy at -0.128 eV/atom. The volume comes out at 50.569 Å³ per atom.

extended XYZ file:
```
8
Lattice="-12.1280 -1.5988 -2.8494 0.3652 -11.5487 4.9253 -6.5442 -5.6197 3.3240" Properties=species:S:1:pos:R:3 pbc="T T T"
As 0.0000 0.0000 0.0000
As -12.2768 -6.8961 0.7563
K -9.3788 -7.2600 2.4675
K -13.0722 -10.1605 1.1689
K -15.5062 -6.0553 0.1881
K -11.1501 -4.1087 -0.7993
Sc -6.0302 -11.8711 4.6437
Sc -5.8814 -6.5737 1.0380
```

8.
# K2ScAs

A relaxed K2ScAs crystal (PBE, Alexandria via LeMat-Bulk).

Values from the calculation:
As for the space group: R-3m. The calculation puts the formation energy at 0.371 eV/atom. The volume comes out at 32.308 Å³ per atom.

extended XYZ file:
```
4
Lattice="-7.1688 10.0367 -1.9635 -9.1612 8.4779 0.4254 -6.5437 10.5423 1.4217" Properties=species:S:1:pos:R:3 pbc="T T T"
K -11.1353 14.1453 -0.0567
K -0.3016 0.3831 -0.0015
As -17.1553 21.7927 -0.0873
Sc -5.7184 7.2642 -0.0291
```

9.
# K2ScAs

A relaxed K2ScAs crystal (PBE, Alexandria via LeMat-Bulk).

Values from the calculation:
As for the space group: Immm. The calculation puts the formation energy at -0.399 eV/atom. The volume comes out at 38.914 Å³ per atom.

extended XYZ file:
```
4
Lattice="10.5565 2.3937 0.0363 8.0493 7.2372 -0.0363 -9.2610 -4.8963 2.7257" Properties=species:S:1:pos:R:3 pbc="T T T"
K 7.5516 3.9089 0.0000
K 1.7513 0.9065 0.0000
Sc 5.2992 1.1564 1.3810
As 4.0456 3.5782 1.3447
```

10.
# KSc2As

A relaxed KSc2As crystal (PBE, Alexandria via LeMat-Bulk).

Values from the calculation:
As for the space group: I4/mmm. The calculation puts the formation energy at 0.143 eV/atom. The volume comes out at 23.813 Å³ per atom.

extended XYZ file:
```
4
Lattice="-0.6816 4.7790 -2.7661 -5.2722 1.6684 0.6123 3.8115 -1.5637 3.7394" Properties=species:S:1:pos:R:3 pbc="T T T"
Sc 0.0000 0.0000 0.0000
Sc -2.9769 3.2237 -1.0769
K 0.0765 3.2196 -0.0518
As -2.2188 1.6643 1.6374
```

11.
# KSc2As

A relaxed KSc2As crystal (PBE, Alexandria via LeMat-Bulk).

Values from the calculation:
As for the space group: R-3m. The calculation puts the formation energy at -0.336 eV/atom. The volume comes out at 32.135 Å³ per atom.

extended XYZ file:
```
4
Lattice="5.4888 5.2365 7.4191 6.1988 1.6687 8.4488 8.2805 3.3077 5.7518" Properties=species:S:1:pos:R:3 pbc="T T T"
Sc 2.3654 1.2098 2.5611
Sc 17.6027 9.0032 19.0587
As 9.9840 5.1065 10.8099
K 0.0000 0.0000 0.0000
```

12.
# KScAs2

A relaxed KScAs2 crystal (PBE, Alexandria via LeMat-Bulk).

Values from the calculation:
As for the space group: F-43m. The calculation puts the formation energy at 0.132 eV/atom. The volume comes out at 22.621 Å³ per atom.

extended XYZ file:
```
4
Lattice="5.0392 0.0000 0.0000 2.5196 4.3641 0.0000 2.5196 1.4547 4.1145" Properties=species:S:1:pos:R:3 pbc="T T T"
As 0.0000 0.0000 0.0000
As 2.5196 1.4547 1.0286
K 5.0392 2.9094 2.0573
Sc 7.5588 4.3641 3.0859
```

13.
# K2ScAs

A relaxed K2ScAs crystal (PBE, Alexandria via LeMat-Bulk).

Values from the calculation:
As for the space group: P4mm. The calculation puts the formation energy at -0.388 eV/atom. The volume comes out at 38.521 Å³ per atom.

extended XYZ file:
```
4
Lattice="3.8154 0.0000 0.0000 0.0000 3.8154 0.0000 0.0000 0.0000 10.5850" Properties=species:S:1:pos:R:3 pbc="T T T"
Sc 0.0000 0.0000 6.4290
K 0.0000 0.0000 9.8920
K 1.9077 1.9077 3.2950
As 1.9077 1.9077 6.8465
```

14.
# KSc2As

A relaxed KSc2As crystal (PBE, Alexandria via LeMat-Bulk).

Values from the calculation:
As for the space group: C2/m. The calculation puts the formation energy at 0.133 eV/atom. The volume comes out at 24.711 Å³ per atom.

extended XYZ file:
```
4
Lattice="-2.0589 -5.6611 -1.5756 5.9823 1.0944 -1.3356 1.6710 -2.0546 1.8445" Properties=species:S:1:pos:R:3 pbc="T T T"
As -0.1939 -3.8579 0.1345
K 3.8267 -0.4801 0.2545
Sc 1.9617 -2.2833 -1.4556
Sc 0.0000 0.0000 0.0000
```

15.
# K2ScAs

A relaxed K2ScAs crystal (PBE, Alexandria via LeMat-Bulk).

Values from the calculation:
As for the space group: Cmmm. The calculation puts the formation energy at -0.131 eV/atom. The volume comes out at 50.231 Å³ per atom.

extended XYZ file:
```
4
Lattice="5.0249 0.0000 0.0000 0.0000 8.1812 0.1617 0.0000 6.4678 5.0153" Properties=species:S:1:pos:R:3 pbc="T T T"
Sc 2.5124 3.6622 1.2942
K 0.0000 12.9727 4.5842
K 0.0000 9.0006 3.1813
As 2.5124 10.9867 3.8827
```

16.
# KSc2As

A relaxed KSc2As crystal (PBE, Alexandria via LeMat-Bulk).

Values from the calculation:
As for the space group: R-3m. The calculation puts the formation energy at 0.383 eV/atom. The volume comes out at 29.505 Å³ per atom.

extended XYZ file:
```
4
Lattice="1.9386 0.0000 12.0871 -0.9693 1.6789 12.0871 -0.9693 -1.6789 12.0871" Properties=species:S:1:pos:R:3 pbc="T T T"
Sc 0.0000 0.0000 33.6488
Sc 0.0000 0.0000 2.6125
As 0.0000 0.0000 0.0000
K 0.0000 0.0000 18.1306
```

17.
# KSc2As

A relaxed KSc2As crystal (PBE, Alexandria via LeMat-Bulk).

Values from the calculation:
As for the space group: Cm. The calculation puts the formation energy at -0.204 eV/atom. The volume comes out at 32.861 Å³ per atom.

extended XYZ file:
```
4
Lattice="5.0407 0.0078 0.0254 3.6628 3.4631 0.0254 2.2890 0.9128 7.5556" Properties=species:S:1:pos:R:3 pbc="T T T"
As 5.9287 2.3643 4.9091
Sc 2.2066 0.8800 6.7481
Sc 8.4571 3.3727 5.1918
K 2.1852 0.8715 2.1164
```

18.
# KSc2As

A relaxed KSc2As crystal (PBE, Alexandria via LeMat-Bulk).

Values from the calculation:
As for the space group: P4/mmm. The calculation puts the formation energy at -0.239 eV/atom. The volume comes out at 29.845 Å³ per atom.

extended XYZ file:
```
4
Lattice="-0.5857 2.0287 -2.8010 -3.4275 0.0390 0.7449 1.2777 7.9142 5.4648" Properties=species:S:1:pos:R:3 pbc="T T T"
Sc 0.1327 0.8218 0.5675
Sc 0.5062 3.1353 2.1649
K -1.0483 6.9695 3.0705
As -1.6872 3.0124 0.3382
```

19.
# KSc2As

A relaxed KSc2As crystal (PBE, Alexandria via LeMat-Bulk).

Values from the calculation:
As for the space group: Imm2. The calculation puts the formation energy at -0.254 eV/atom. The volume comes out at 31.534 Å³ per atom.

extended XYZ file:
```
4
Lattice="-7.3698 -5.3179 -0.7898 -3.0552 -8.5518 -0.8664 4.8844 6.8620 3.5033" Properties=species:S:1:pos:R:3 pbc="T T T"
As -5.3989 -7.1829 -0.8577
K -2.4611 -5.3359 0.7822
Sc -0.1210 -0.1610 -0.0192
Sc -2.7721 -1.2626 1.1138
```

20.
# KScAs2

A relaxed KScAs2 crystal (PBE, Alexandria via LeMat-Bulk).

Values from the calculation:
As for the space group: Imm2. The calculation puts the formation energy at -0.580 eV/atom. The volume comes out at 27.912 Å³ per atom.

extended XYZ file:
```
4
Lattice="-7.6076 0.0271 -2.0914 -4.8155 -3.6725 -5.0570 5.5828 0.0419 5.5750" Properties=species:S:1:pos:R:3 pbc="T T T"
As -11.2999 -3.3158 -6.5022
As -4.1899 -0.8979 -0.0866
K -6.7580 -1.9830 -3.8887
Sc -3.2270 -2.8748 -1.8187
```